1.
The following is a PBE calculation of an optimized crystal structure of Mg2ScCl, from the Alexandria database.

CIF file:
```
data_Mg2ScCl
_chemical_formula_sum 'Mg2 Sc1 Cl1'
_space_group_name_H-M_alt 'P 1 m 1'
_space_group_IT_number 6
_space_group_name_Hall 'P -2y'
_cell_length_a 3.298
_cell_length_b 5.085
_cell_length_c 5.659
_cell_angle_alpha 90.00
_cell_angle_beta 90.01
_cell_angle_gamma 90.00
loop_
_atom_site_label
_atom_site_fract_x
_atom_site_fract_y
_atom_site_fract_z
_atom_site_occupancy
Mg1 0.000 0.000 0.000 1
Mg2 0.499 0.500 0.902 1
Sc1 0.999 0.500 0.390 1
Cl1 0.998 0.000 0.466 1
```

energy above the most stable polymorph in this dataset	170	meV/atom
V	23.73	Å³/atom
energy relative to the elements, uncorrected	-0.41	eV per atom
D(E_F)	2.5	states/eV/f.u.

---

2.
The following is a PBE calculation of an optimized crystal structure of Mg2ScCl, from the Alexandria database.

CIF file:
```
data_Mg2ScCl
_chemical_formula_sum 'Mg2 Sc1 Cl1'
_space_group_name_H-M_alt 'P 4/m m m'
_space_group_IT_number 123
_space_group_name_Hall '-P 4 2'
_cell_length_a 3.262
_cell_length_b 3.262
_cell_length_c 8.538
_cell_angle_alpha 90.00
_cell_angle_beta 90.00
_cell_angle_gamma 90.00
loop_
_atom_site_label
_atom_site_fract_x
_atom_site_fract_y
_atom_site_fract_z
_atom_site_occupancy
Mg1 0.000 0.000 0.238 1
Sc1 0.500 0.500 0.500 1
Cl1 0.500 0.500 0.000 1
```

energy above the most stable polymorph in this dataset	172	meV/atom
V	22.71	Å³/atom
energy relative to the elements, uncorrected	-0.41	eV per atom
D(E_F)	3.7	states/eV/f.u.

---

3.
The following is a PBE calculation of an optimized crystal structure of MgScCl, from the Alexandria database.

CIF file:
```
data_MgScCl
_chemical_formula_sum 'Mg1 Sc1 Cl1'
_space_group_name_H-M_alt 'P -6 m 2'
_space_group_IT_number 187
_space_group_name_Hall 'P -6 2'
_cell_length_a 4.5415
_cell_length_b 4.5415
_cell_length_c 3.8721
_cell_angle_alpha 90.00
_cell_angle_beta 90.00
_cell_angle_gamma 120.00
loop_
_atom_site_label
_atom_site_fract_x
_atom_site_fract_y
_atom_site_fract_z
_atom_site_occupancy
Mg1 0.0000 0.0000 0.0000 1
Sc1 0.3333 0.6667 0.5000 1
Cl1 0.6667 0.3333 0.5000 1
```

energy above the most stable polymorph in this dataset	346	meV/atom
V	23.05	Å³/atom
energy relative to the elements, uncorrected	-0.45	eV per atom
D(E_F)	2.8	states/eV/f.u.

---

4.
The following is a PBE calculation of an optimized crystal structure of MgScCl2, from the Alexandria database.

CIF file:
```
data_MgScCl2
_chemical_formula_sum 'Mg1 Sc1 Cl2'
_space_group_name_H-M_alt 'P 4/m m m'
_space_group_IT_number 123
_space_group_name_Hall '-P 4 2'
_cell_length_a 3.206
_cell_length_b 3.206
_cell_length_c 9.689
_cell_angle_alpha 90.00
_cell_angle_beta 90.00
_cell_angle_gamma 90.00
loop_
_atom_site_label
_atom_site_fract_x
_atom_site_fract_y
_atom_site_fract_z
_atom_site_occupancy
Mg1 0.000 0.000 0.000 1
Sc1 0.000 0.000 0.500 1
Cl1 0.500 0.500 0.342 1
```

energy above the most stable polymorph in this dataset	125	meV/atom
V	24.90	Å³/atom
energy relative to the elements, uncorrected	-1.11	eV per atom
D(E_F)	1.2	states/eV/f.u.

---

5.
The following is a PBE calculation of an optimized crystal structure of Mg2ScCl, from the Alexandria database.

CIF file:
```
data_Mg2ScCl
_chemical_formula_sum 'Mg8 Sc4 Cl4'
_space_group_name_H-M_alt 'F -4 3 m'
_space_group_IT_number 216
_space_group_name_Hall 'F -4 2 3'
_cell_length_a 7.185
_cell_length_b 7.185
_cell_length_c 7.185
_cell_angle_alpha 90.00
_cell_angle_beta 90.00
_cell_angle_gamma 90.00
loop_
_atom_site_label
_atom_site_fract_x
_atom_site_fract_y
_atom_site_fract_z
_atom_site_occupancy
Mg1 0.000 0.000 0.000 1
Mg2 0.250 0.250 0.250 1
Sc1 0.000 0.000 0.500 1
Cl1 0.250 0.250 0.750 1
```

energy above the most stable polymorph in this dataset	543	meV/atom
V	23.18	Å³/atom
energy relative to the elements, uncorrected	-0.04	eV per atom
D(E_F)	4.5	states/eV/f.u.

---

6.
The following is a PBE calculation of an optimized crystal structure of MgScCl2, from the Alexandria database.

CIF file:
```
data_MgScCl2
_chemical_formula_sum 'Mg1 Sc1 Cl2'
_space_group_name_H-M_alt 'P m m m'
_space_group_IT_number 47
_space_group_name_Hall '-P 2 2'
_cell_length_a 3.285
_cell_length_b 4.283
_cell_length_c 6.163
_cell_angle_alpha 90.00
_cell_angle_beta 90.00
_cell_angle_gamma 90.00
loop_
_atom_site_label
_atom_site_fract_x
_atom_site_fract_y
_atom_site_fract_z
_atom_site_occupancy
Mg1 0.000 0.000 0.000 1
Sc1 0.500 0.000 0.500 1
Cl1 0.000 0.500 0.500 1
Cl2 0.500 0.500 0.000 1
```

energy above the most stable polymorph in this dataset	341	meV/atom
V	21.68	Å³/atom
energy relative to the elements, uncorrected	-0.89	eV per atom
D(E_F)	2.6	states/eV/f.u.

---

7.
The following is a PBE calculation of an optimized crystal structure of Mg2ScCl, from the Alexandria database.

CIF file:
```
data_Mg2ScCl
_chemical_formula_sum 'Mg2 Sc1 Cl1'
_space_group_name_H-M_alt 'P 1 2/m 1'
_space_group_IT_number 10
_space_group_name_Hall '-P 2y'
_cell_length_a 3.256
_cell_length_b 5.733
_cell_length_c 5.120
_cell_angle_alpha 90.00
_cell_angle_beta 95.64
_cell_angle_gamma 90.00
loop_
_atom_site_label
_atom_site_fract_x
_atom_site_fract_y
_atom_site_fract_z
_atom_site_occupancy
Mg1 0.215 0.000 0.248 1
Sc1 0.500 0.500 0.000 1
Cl1 0.500 0.500 0.500 1
```

energy above the most stable polymorph in this dataset	254	meV/atom
V	23.77	Å³/atom
energy relative to the elements, uncorrected	-0.33	eV per atom
D(E_F)	3.2	states/eV/f.u.

---

8.
The following is a PBE calculation of an optimized crystal structure of MgScCl3, from the Alexandria database.

CIF file:
```
data_MgScCl3
_chemical_formula_sum 'Mg1 Sc1 Cl3'
_space_group_name_H-M_alt 'P m -3 m'
_space_group_IT_number 221
_space_group_name_Hall '-P 4 2 3'
_cell_length_a 4.931
_cell_length_b 4.931
_cell_length_c 4.931
_cell_angle_alpha 90.00
_cell_angle_beta 90.00
_cell_angle_gamma 90.00
loop_
_atom_site_label
_atom_site_fract_x
_atom_site_fract_y
_atom_site_fract_z
_atom_site_occupancy
Mg1 0.000 0.000 0.000 1
Sc1 0.500 0.500 0.500 1
Cl1 0.000 0.000 0.500 1
```

energy above the most stable polymorph in this dataset	287	meV/atom
V	23.98	Å³/atom
energy relative to the elements, uncorrected	-1.01	eV per atom
D(E_F)	5.1	states/eV/f.u.

---

9.
The following is a PBE calculation of an optimized crystal structure of MgScCl2, from the Alexandria database.

CIF file:
```
data_MgScCl2
_chemical_formula_sum 'Mg2 Sc2 Cl4'
_space_group_name_H-M_alt 'I m m 2'
_space_group_IT_number 44
_space_group_name_Hall 'I 2 -2'
_cell_length_a 3.208
_cell_length_b 4.411
_cell_length_c 13.612
_cell_angle_alpha 90.00
_cell_angle_beta 90.00
_cell_angle_gamma 90.00
loop_
_atom_site_label
_atom_site_fract_x
_atom_site_fract_y
_atom_site_fract_z
_atom_site_occupancy
Mg1 0.000 0.000 0.000 1
Sc1 0.000 0.500 0.704 1
Cl1 0.000 0.000 0.359 1
Cl2 0.000 0.500 0.174 1
```

energy above the most stable polymorph in this dataset	204	meV/atom
V	24.08	Å³/atom
energy relative to the elements, uncorrected	-1.03	eV per atom
D(E_F)	2.0	states/eV/f.u.

---

10.
The following is a PBE calculation of an optimized crystal structure of Mg3ScCl, from the Alexandria database.

CIF file:
```
data_Mg3ScCl
_chemical_formula_sum 'Mg3 Sc1 Cl1'
_space_group_name_H-M_alt 'P m -3 m'
_space_group_IT_number 221
_space_group_name_Hall '-P 4 2 3'
_cell_length_a 5.043
_cell_length_b 5.043
_cell_length_c 5.043
_cell_angle_alpha 90.00
_cell_angle_beta 90.00
_cell_angle_gamma 90.00
loop_
_atom_site_label
_atom_site_fract_x
_atom_site_fract_y
_atom_site_fract_z
_atom_site_occupancy
Mg1 0.000 0.000 0.500 1
Sc1 0.500 0.500 0.500 1
Cl1 0.000 0.000 0.000 1
```

energy above the most stable polymorph in this dataset	0	meV/atom
V	25.65	Å³/atom
energy relative to the elements, uncorrected	0.09	eV per atom
D(E_F)	5.5	states/eV/f.u.

---

11.
The following is a PBE calculation of an optimized crystal structure of MgScCl, from the Alexandria database.

CIF file:
```
data_MgScCl
_chemical_formula_sum 'Mg1 Sc1 Cl1'
_space_group_name_H-M_alt 'P 3 m 1'
_space_group_IT_number 156
_space_group_name_Hall 'P 3 -2"'
_cell_length_a 3.4050
_cell_length_b 3.4050
_cell_length_c 7.2963
_cell_angle_alpha 90.00
_cell_angle_beta 90.00
_cell_angle_gamma 120.00
loop_
_atom_site_label
_atom_site_fract_x
_atom_site_fract_y
_atom_site_fract_z
_atom_site_occupancy
Mg1 0.0000 0.0000 0.0000 1
Sc1 0.6667 0.3333 0.3290 1
Cl1 0.3333 0.6667 0.5650 1
```

energy above the most stable polymorph in this dataset	0	meV/atom
V	24.42	Å³/atom
energy relative to the elements, uncorrected	-0.80	eV per atom
D(E_F)	3.1	states/eV/f.u.

---

12.
The following is a PBE calculation of an optimized crystal structure of Mg2ScCl, from the Alexandria database.

CIF file:
```
data_Mg2ScCl
_chemical_formula_sum 'Mg4 Sc2 Cl2'
_space_group_name_H-M_alt 'C 1 2/m 1'
_space_group_IT_number 12
_space_group_name_Hall '-C 2y'
_cell_length_a 5.701
_cell_length_b 9.733
_cell_length_c 3.322
_cell_angle_alpha 90.00
_cell_angle_beta 90.19
_cell_angle_gamma 90.00
loop_
_atom_site_label
_atom_site_fract_x
_atom_site_fract_y
_atom_site_fract_z
_atom_site_occupancy
Mg1 0.250 0.250 0.000 1
Sc1 0.000 0.000 0.500 1
Cl1 0.000 0.500 0.500 1
```

energy above the most stable polymorph in this dataset	273	meV/atom
V	23.04	Å³/atom
energy relative to the elements, uncorrected	-0.31	eV per atom
D(E_F)	3.6	states/eV/f.u.

---

13.
The following is a PBE calculation of an optimized crystal structure of Mg2ScCl, from the Alexandria database.

CIF file:
```
data_Mg2ScCl
_chemical_formula_sum 'Mg4 Sc2 Cl2'
_space_group_name_H-M_alt 'I 4/m m m'
_space_group_IT_number 139
_space_group_name_Hall '-I 4 2'
_cell_length_a 3.992
_cell_length_b 3.992
_cell_length_c 11.119
_cell_angle_alpha 90.00
_cell_angle_beta 90.00
_cell_angle_gamma 90.00
loop_
_atom_site_label
_atom_site_fract_x
_atom_site_fract_y
_atom_site_fract_z
_atom_site_occupancy
Mg1 0.000 0.500 0.250 1
Sc1 0.000 0.000 0.000 1
Cl1 0.000 0.000 0.500 1
```

energy above the most stable polymorph in this dataset	330	meV/atom
V	22.15	Å³/atom
energy relative to the elements, uncorrected	-0.25	eV per atom
D(E_F)	2.8	states/eV/f.u.

---

14.
The following is a PBE calculation of an optimized crystal structure of Mg2ScCl6, from the Alexandria database.

CIF file:
```
data_Mg2ScCl6
_chemical_formula_sum 'Mg4 Sc2 Cl12'
_space_group_name_H-M_alt 'C 1 2/m 1'
_space_group_IT_number 12
_space_group_name_Hall '-C 2y'
_cell_length_a 14.408
_cell_length_b 3.619
_cell_length_c 9.657
_cell_angle_alpha 90.00
_cell_angle_beta 110.64
_cell_angle_gamma 90.00
loop_
_atom_site_label
_atom_site_fract_x
_atom_site_fract_y
_atom_site_fract_z
_atom_site_occupancy
Mg1 0.169 0.000 0.335 1
Sc1 0.000 0.500 0.000 1
Cl1 0.040 0.500 0.287 1
Cl2 0.140 0.000 0.061 1
Cl3 0.202 0.000 0.612 1
```

V	26.18	Å³/atom
energy relative to the elements, uncorrected	-1.84	eV per atom
D(E_F)	1.8	states/eV/f.u.

---

15.
The following is a PBE calculation of an optimized crystal structure of Mg2ScCl, from the Alexandria database.

CIF file:
```
data_Mg2ScCl
_chemical_formula_sum 'Mg2 Sc1 Cl1'
_space_group_name_H-M_alt 'P m m m'
_space_group_IT_number 47
_space_group_name_Hall '-P 2 2'
_cell_length_a 3.164
_cell_length_b 4.907
_cell_length_c 5.855
_cell_angle_alpha 90.00
_cell_angle_beta 90.00
_cell_angle_gamma 90.00
loop_
_atom_site_label
_atom_site_fract_x
_atom_site_fract_y
_atom_site_fract_z
_atom_site_occupancy
Mg1 0.000 0.000 0.000 1
Mg2 0.500 0.500 0.000 1
Sc1 0.000 0.500 0.500 1
Cl1 0.500 0.000 0.500 1
```

energy above the most stable polymorph in this dataset	263	meV/atom
V	22.73	Å³/atom
energy relative to the elements, uncorrected	-0.32	eV per atom
D(E_F)	2.8	states/eV/f.u.

---

16.
The following is a PBE calculation of an optimized crystal structure of Mg2ScCl, from the Alexandria database.

CIF file:
```
data_Mg2ScCl
_chemical_formula_sum 'Mg4 Sc2 Cl2'
_space_group_name_H-M_alt 'C 1 m 1'
_space_group_IT_number 8
_space_group_name_Hall 'C -2y'
_cell_length_a 11.398
_cell_length_b 3.281
_cell_length_c 5.594
_cell_angle_alpha 90.00
_cell_angle_beta 113.87
_cell_angle_gamma 90.00
loop_
_atom_site_label
_atom_site_fract_x
_atom_site_fract_y
_atom_site_fract_z
_atom_site_occupancy
Mg1 0.000 0.000 0.000 1
Mg2 0.214 0.000 0.676 1
Sc1 0.266 0.500 0.199 1
Cl1 0.432 0.000 0.498 1
```

energy above the most stable polymorph in this dataset	153	meV/atom
V	23.91	Å³/atom
energy relative to the elements, uncorrected	-0.43	eV per atom
D(E_F)	2.6	states/eV/f.u.

---

17.
The following is a PBE calculation of an optimized crystal structure of Mg2ScCl, from the Alexandria database.

CIF file:
```
data_Mg2ScCl
_chemical_formula_sum 'Mg2 Sc1 Cl1'
_space_group_name_H-M_alt 'P 4/m m m'
_space_group_IT_number 123
_space_group_name_Hall '-P 4 2'
_cell_length_a 5.355
_cell_length_b 5.355
_cell_length_c 3.365
_cell_angle_alpha 90.00
_cell_angle_beta 90.00
_cell_angle_gamma 90.00
loop_
_atom_site_label
_atom_site_fract_x
_atom_site_fract_y
_atom_site_fract_z
_atom_site_occupancy
Mg1 0.000 0.500 0.000 1
Sc1 0.000 0.000 0.500 1
Cl1 0.500 0.500 0.500 1
```

energy above the most stable polymorph in this dataset	386	meV/atom
V	24.12	Å³/atom
energy relative to the elements, uncorrected	-0.20	eV per atom
D(E_F)	3.0	states/eV/f.u.

---

18.
The following is a PBE calculation of an optimized crystal structure of MgScCl2, from the Alexandria database.

CIF file:
```
data_MgScCl2
_chemical_formula_sum 'Mg3 Sc3 Cl6'
_space_group_name_H-M_alt 'R -3 m'
_space_group_IT_number 166
_space_group_name_Hall '-R 3 2"'
_cell_length_a 3.4102
_cell_length_b 3.4102
_cell_length_c 28.7436
_cell_angle_alpha 90.00
_cell_angle_beta 90.00
_cell_angle_gamma 120.00
loop_
_atom_site_label
_atom_site_fract_x
_atom_site_fract_y
_atom_site_fract_z
_atom_site_occupancy
Mg1 0.0000 0.0000 0.0000 1
Sc1 0.0000 0.0000 0.5000 1
Cl1 0.0000 0.0000 0.1087 1
```

energy above the most stable polymorph in this dataset	0	meV/atom
V	24.12	Å³/atom
energy relative to the elements, uncorrected	-1.23	eV per atom
D(E_F)	3.0	states/eV/f.u.

---

19.
The following is a PBE calculation of an optimized crystal structure of Mg2ScCl, from the Alexandria database.

CIF file:
```
data_Mg2ScCl
_chemical_formula_sum 'Mg4 Sc2 Cl2'
_space_group_name_H-M_alt 'C m m 2'
_space_group_IT_number 35
_space_group_name_Hall 'C 2 -2'
_cell_length_a 3.596
_cell_length_b 5.415
_cell_length_c 10.085
_cell_angle_alpha 90.00
_cell_angle_beta 90.00
_cell_angle_gamma 90.00
loop_
_atom_site_label
_atom_site_fract_x
_atom_site_fract_y
_atom_site_fract_z
_atom_site_occupancy
Mg1 0.000 0.000 0.000 1
Mg2 0.000 0.500 0.249 1
Sc1 0.000 0.000 0.493 1
Cl1 0.000 0.500 0.672 1
```

energy above the most stable polymorph in this dataset	93	meV/atom
V	24.55	Å³/atom
energy relative to the elements, uncorrected	-0.49	eV per atom
D(E_F)	2.8	states/eV/f.u.

---

20.
The following is a PBE calculation of an optimized crystal structure of MgScCl2, from the Alexandria database.

CIF file:
```
data_MgScCl2
_chemical_formula_sum 'Mg2 Sc2 Cl4'
_space_group_name_H-M_alt 'C 1 2/m 1'
_space_group_IT_number 12
_space_group_name_Hall '-C 2y'
_cell_length_a 12.712
_cell_length_b 3.351
_cell_length_c 5.884
_cell_angle_alpha 90.00
_cell_angle_beta 117.21
_cell_angle_gamma 90.00
loop_
_atom_site_label
_atom_site_fract_x
_atom_site_fract_y
_atom_site_fract_z
_atom_site_occupancy
Mg1 0.000 0.000 0.000 1
Sc1 0.000 0.500 0.500 1
Cl1 0.166 0.000 0.667 1
```

energy above the most stable polymorph in this dataset	126	meV/atom
V	27.86	Å³/atom
energy relative to the elements, uncorrected	-1.11	eV per atom
D(E_F)	2.8	states/eV/f.u.